Record 1
# Cd4AsPCl2 PBE-GGA optimized geometry
# - formation energy (no corrections) (meV per atom) = -334
# - calculated density (g cm⁻³) = 5.304
# - total magnetic moment (μB per formula unit) = 0.00
# - uncorrected energy (eV per atom) = -2.511
data_Cd4AsPCl2
_cell_length_a 8.4726
_cell_length_b 8.4726
_cell_length_c 7.7086
_cell_angle_alpha 117.12
_cell_angle_beta 117.12
_cell_angle_gamma 98.39
_symmetry_space_group_name_H-M 'P 1'
_symmetry_Int_Tables_number 1
loop_
_symmetry_equiv_pos_as_xyz
'x,y,z'
loop_
_atom_site_label
_atom_site_type_symbol
_atom_site_fract_x
_atom_site_fract_y
_atom_site_fract_z
As1 As 0.0000 0.5000 0.0000
As2 As 0.0000 0.5000 0.5000
Cd1 Cd 0.8003 0.2164 0.0080
Cd2 Cd 0.7164 0.3003 0.5080
Cd3 Cd 0.2176 0.2817 0.0185
Cd4 Cd 0.7817 0.7176 0.5185
Cd5 Cd 0.2836 0.6997 0.4920
Cd6 Cd 0.2183 0.2824 0.4815
Cd7 Cd 0.7824 0.7183 0.9815
Cd8 Cd 0.1997 0.7836 0.9920
P1 P 0.0000 0.0000 0.0000
P2 P 0.5000 0.5000 0.5000
Cl1 Cl 0.5000 0.5000 0.0000
Cl2 Cl 0.5000 0.0000 0.5000
Cl3 Cl 0.0000 0.0000 0.5000
Cl4 Cl 0.5000 0.0000 0.0000


Record 2
# SrPmPdPt PBE-GGA optimized geometry
# - formation enthalpy at 0 K (eV per atom) = -0.846
# - calculated density (g cm⁻³) = 8.677
# - total magnetic moment (μB per formula unit) = 0.00
# - offset from the most stable computed form (meV per atom) = 0
# - uncorrected energy (eV per atom) = -5.263
data_SrPmPdPt
_cell_length_a 4.0186
_cell_length_b 4.4584
_cell_length_c 6.0487
_cell_angle_alpha 90.00
_cell_angle_beta 109.40
_cell_angle_gamma 90.00
_symmetry_space_group_name_H-M 'P 1'
_symmetry_Int_Tables_number 1
loop_
_symmetry_equiv_pos_as_xyz
'x,y,z'
loop_
_atom_site_label
_atom_site_type_symbol
_atom_site_fract_x
_atom_site_fract_y
_atom_site_fract_z
Sr1 Sr 0.1429 0.0000 0.2859
Pd1 Pd 0.5741 0.5000 0.1482
Pt1 Pt 0.4151 0.0000 0.8301
Pm1 Pm 0.8679 0.5000 0.7358


Record 3
# GaAuI2O PBE-GGA optimized geometry
# - formation energy (no corrections) (meV per atom) = -170
# - calculated density (g cm⁻³) = 7.326
# - total magnetic moment (μB per formula unit) = 0.00
# - offset from the most stable computed form (meV per atom) = 0
# - uncorrected energy (eV per atom) = -3.042
data_GaAuI2O
_cell_length_a 5.8366
_cell_length_b 5.8366
_cell_length_c 3.5695
_cell_angle_alpha 90.00
_cell_angle_beta 90.00
_cell_angle_gamma 90.00
_symmetry_space_group_name_H-M 'P 1'
_symmetry_Int_Tables_number 1
loop_
_symmetry_equiv_pos_as_xyz
'x,y,z'
loop_
_atom_site_label
_atom_site_type_symbol
_atom_site_fract_x
_atom_site_fract_y
_atom_site_fract_z
Au1 Au 0.5000 0.5000 0.5000
Ga1 Ga 0.0000 0.0000 0.0000
O1 O 0.0000 0.0000 0.5000
I1 I 0.5000 0.0000 0.0000
I2 I 0.0000 0.5000 0.0000


Record 4
# Ce2HoH6 PBE-GGA optimized geometry
# - calculated density (g cm⁻³) = 6.559
# - total magnetic moment (μB per formula unit) = 1.57
# - uncorrected energy (eV per atom) = -4.652
data_Ce2HoH6
_cell_length_a 3.7577
_cell_length_b 5.3736
_cell_length_c 6.5384
_cell_angle_alpha 114.26
_cell_angle_beta 106.69
_cell_angle_gamma 90.00
_symmetry_space_group_name_H-M 'P 1'
_symmetry_Int_Tables_number 1
loop_
_symmetry_equiv_pos_as_xyz
'x,y,z'
loop_
_atom_site_label
_atom_site_type_symbol
_atom_site_fract_x
_atom_site_fract_y
_atom_site_fract_z
H1 H 0.5000 0.2343 0.0000
H2 H 0.1622 0.9219 0.3247
H3 H 0.5000 0.7657 0.0000
H4 H 0.8378 0.5972 0.6753
H5 H 0.1622 0.4028 0.3247
H6 H 0.8378 0.0781 0.6753
Ce1 Ce 0.3356 0.3354 0.6709
Ce2 Ce 0.6644 0.6646 0.3291
Ho1 Ho 0.0000 0.0000 0.0000


Record 5
# PrZn4Co PBE-GGA optimized geometry
# - formation enthalpy at 0 K (eV per atom) = -0.102
# - calculated density (g cm⁻³) = 7.631
# - total magnetic moment (μB per formula unit) = 0.00
# - uncorrected energy (eV per atom) = -2.933
data_PrZn4Co
_cell_length_a 5.2173
_cell_length_b 5.2173
_cell_length_c 5.2173
_cell_angle_alpha 60.00
_cell_angle_beta 60.00
_cell_angle_gamma 60.00
_symmetry_space_group_name_H-M 'P 1'
_symmetry_Int_Tables_number 1
loop_
_symmetry_equiv_pos_as_xyz
'x,y,z'
loop_
_atom_site_label
_atom_site_type_symbol
_atom_site_fract_x
_atom_site_fract_y
_atom_site_fract_z
Zn1 Zn 0.6268 0.6268 0.6268
Zn2 Zn 0.1195 0.6268 0.6268
Zn3 Zn 0.6268 0.1195 0.6268
Zn4 Zn 0.6268 0.6268 0.1195
Co1 Co 0.0000 0.0000 0.0000
Pr1 Pr 0.2500 0.2500 0.2500


Record 6
# LiSmLuMg PBE-GGA optimized geometry
# - formation enthalpy at 0 K (eV per atom) = 0.046
# - calculated density (g cm⁻³) = 5.575
# - total magnetic moment (μB per formula unit) = 0.00
# - uncorrected energy (eV per atom) = -3.142
data_LiSmLuMg
_cell_length_a 5.3157
_cell_length_b 5.3157
_cell_length_c 5.3157
_cell_angle_alpha 60.00
_cell_angle_beta 60.00
_cell_angle_gamma 60.00
_symmetry_space_group_name_H-M 'P 1'
_symmetry_Int_Tables_number 1
loop_
_symmetry_equiv_pos_as_xyz
'x,y,z'
loop_
_atom_site_label
_atom_site_type_symbol
_atom_site_fract_x
_atom_site_fract_y
_atom_site_fract_z
Li1 Li 0.5000 0.5000 0.5000
Lu1 Lu 0.7500 0.7500 0.7500
Mg1 Mg 0.0000 0.0000 0.0000
Sm1 Sm 0.2500 0.2500 0.2500


Record 7
# GaCuSeN2 PBE-GGA optimized geometry
# - formation energy (no corrections) (meV per atom) = 1251
# - calculated density (g cm⁻³) = 4.859
# - total magnetic moment (μB per formula unit) = 3.29
# - offset from the most stable computed form (meV per atom) = 0
# - uncorrected energy (eV per atom) = -4.201
data_GaCuSeN2
_cell_length_a 3.7947
_cell_length_b 3.7947
_cell_length_c 5.7016
_cell_angle_alpha 90.00
_cell_angle_beta 90.00
_cell_angle_gamma 90.00
_symmetry_space_group_name_H-M 'P 1'
_symmetry_Int_Tables_number 1
loop_
_symmetry_equiv_pos_as_xyz
'x,y,z'
loop_
_atom_site_label
_atom_site_type_symbol
_atom_site_fract_x
_atom_site_fract_y
_atom_site_fract_z
N1 N 0.5000 0.0000 0.0000
N2 N 0.0000 0.5000 0.0000
Se1 Se 0.0000 0.0000 0.5000
Cu1 Cu 0.5000 0.5000 0.5000
Ga1 Ga 0.0000 0.0000 0.0000


Record 8
# Pu2NpUSe4 PBE-GGA optimized geometry
# - formation energy (no corrections) (meV per atom) = -1232
# - calculated density (g cm⁻³) = 10.843
# - total magnetic moment (μB per formula unit) = 12.75
# - uncorrected energy (eV per atom) = -9.585
data_Pu2NpUSe4
_cell_length_a 5.8018
_cell_length_b 5.8018
_cell_length_c 7.1191
_cell_angle_alpha 114.04
_cell_angle_beta 114.04
_cell_angle_gamma 90.01
_symmetry_space_group_name_H-M 'P 1'
_symmetry_Int_Tables_number 1
loop_
_symmetry_equiv_pos_as_xyz
'x,y,z'
loop_
_atom_site_label
_atom_site_type_symbol
_atom_site_fract_x
_atom_site_fract_y
_atom_site_fract_z
Np1 Np 0.7500 0.2500 0.5000
Se1 Se 0.2497 0.2497 0.4994
Se2 Se 0.7503 0.7503 0.5006
Se3 Se 0.9993 0.4993 0.9986
Se4 Se 0.5007 0.0007 0.0014
Pu1 Pu 0.0000 0.0000 0.0000
Pu2 Pu 0.2500 0.7500 0.5000
U1 U 0.5000 0.5000 0.0000


The evaluated volume for the records listed, in turn: 392 102 122 114 100 106 82 196 Å³ per cell.